VASP calculation (PBE) on a relaxed structure of BeGaFe2H.

- ρ (Mg/m³) = 6.89
- D(E_F) (states/eV per cell) = 4.69
- space group = P4/mmm
- electronic total energy (eV per atom) = -5.436

abc: 3.619 3.619 3.523
angles: 90.00 90.00 90.00
Fractional coordinates of all 5 atoms:
Be  0.000  0.000  0.000
Ga  0.500  0.500  0.000
Fe  0.000  0.500  0.500
Fe  0.500  0.000  0.500
H  0.000  0.000  0.500